The following is a DFT calculation (GGA-PBE) of a relaxed LaDyAgPd crystal.

Final energy, eV per atom: -4.920
Energy of formation, kJ/mol of atoms: -51

a = 5.187 Å, b = 5.187 Å, c = 5.187 Å
α = 60.00°, β = 60.00°, γ = 60.00°
Fractional positions:
La  0.500  0.500  0.500
Dy  0.000  0.000  0.000
Pd  0.750  0.750  0.750
Ag  0.250  0.250  0.250

=====

The following is a DFT calculation (GGA-PBE) of a relaxed La2HoIr crystal.

Final energy, eV per atom: -6.325
Energy of formation, kJ/mol of atoms: -48

a = 6.453 Å, b = 7.350 Å, c = 10.076 Å
α = 90.00°, β = 90.00°, γ = 90.00°
Fractional positions:
Ho  0.658  0.540  0.250
La  0.325  0.176  0.433
Ir  0.447  0.877  0.250
Ho  0.342  0.460  0.750
La  0.175  0.676  0.433
Ir  0.053  0.377  0.250
Ho  0.158  0.960  0.750
Ho  0.842  0.040  0.250
Ir  0.553  0.123  0.750
Ir  0.947  0.623  0.750
La  0.325  0.176  0.067
La  0.175  0.676  0.067
La  0.675  0.824  0.567
La  0.825  0.324  0.567
La  0.825  0.324  0.933
La  0.675  0.824  0.933

=====

The following is a DFT calculation (GGA-PBE) of a relaxed Nd6Dy2In crystal.

Final energy, eV per atom: -4.550
Energy of formation, kJ/mol of atoms: -4

a = 6.361 Å, b = 11.479 Å, c = 11.479 Å
α = 47.82°, β = 106.13°, γ = 106.13°
Fractional positions:
Nd  0.562  0.993  0.849
In  0.750  0.750  0.250
Nd  0.062  0.849  0.993
Dy  0.576  0.828  0.673
Nd  0.720  0.507  0.651
Nd  0.280  0.493  0.349
Dy  0.924  0.327  0.172
Nd  0.082  0.082  0.581
Nd  0.918  0.918  0.419
Nd  0.438  0.007  0.151
Nd  0.582  0.581  0.082
Nd  0.938  0.151  0.007
Dy  0.076  0.673  0.828
In  0.250  0.250  0.750
Dy  0.424  0.172  0.327
Nd  0.220  0.651  0.507
Nd  0.418  0.419  0.918
Nd  0.780  0.349  0.493

=====

The following is a DFT calculation (GGA-PBE) of a relaxed Tb13Dy3 crystal.

Final energy, eV per atom: -4.612
Energy of formation, kJ/mol of atoms: 1

a = 7.262 Å, b = 8.439 Å, c = 8.439 Å
α = 96.05°, β = 90.00°, γ = 90.00°
Fractional positions:
Tb  0.750  0.959  0.542
Tb  0.000  0.709  0.792
Tb  0.500  0.291  0.709
Tb  0.000  0.792  0.208
Tb  0.000  0.208  0.291
Dy  0.000  0.291  0.709
Tb  0.500  0.709  0.792
Tb  0.750  0.542  0.458
Tb  0.500  0.208  0.291
Tb  0.500  0.792  0.208
Tb  0.250  0.542  0.458
Tb  0.250  0.959  0.542
Tb  0.750  0.458  0.041
Tb  0.250  0.458  0.041
Dy  0.250  0.042  0.958
Dy  0.750  0.042  0.958

=====

The following is a DFT calculation (GGA-PBE) of a relaxed Pm2Nd7Sm2 crystal.

Final energy, eV per atom: -4.725
Energy of formation, kJ/mol of atoms: 3

a = 8.731 Å, b = 8.731 Å, c = 18.185 Å
α = 122.42°, β = 122.42°, γ = 43.03°
Fractional positions:
Nd  0.918  0.082  0.250
Pm  0.174  0.007  0.478
Nd  0.631  0.461  0.114
Nd  0.279  0.447  0.159
Sm  0.097  0.266  0.704
Nd  0.447  0.279  0.659
Nd  0.539  0.369  0.386
Sm  0.903  0.734  0.296
Nd  0.643  0.811  0.069
Pm  0.007  0.174  0.978
Nd  0.721  0.553  0.841
Nd  0.082  0.918  0.750
Nd  0.357  0.189  0.931
Sm  0.734  0.903  0.796
Nd  0.811  0.643  0.569
Nd  0.553  0.721  0.341
Pm  0.826  0.993  0.522
Pm  0.993  0.826  0.022
Nd  0.369  0.539  0.886
Sm  0.266  0.097  0.204
Nd  0.461  0.631  0.614
Nd  0.189  0.357  0.431

=====

The following is a DFT calculation (GGA-PBE) of a relaxed BeS crystal.

Final energy, eV per atom: -4.743
Formation energy without anion corrections, kJ/mol of atoms: -78.7

a = 6.825 Å, b = 3.688 Å, c = 5.646 Å
α = 90.00°, β = 93.07°, γ = 90.00°
Fractional positions:
Be  0.739  0.000  0.938
S  0.660  0.500  0.075
Be  0.739  0.500  0.438
S  0.060  0.500  0.601
Be  0.981  0.500  0.953
Be  0.981  0.000  0.453
S  0.060  0.000  0.101
S  0.660  0.000  0.575

=====

The following is a DFT calculation (GGA-PBE) of a relaxed NaMg6Pb12 crystal.

Final energy, eV per atom: -2.898
Energy of formation, kJ/mol of atoms: 2

a = 8.929 Å, b = 8.929 Å, c = 8.929 Å
α = 109.47°, β = 109.47°, γ = 109.47°
Fractional positions:
Pb  0.270  0.094  0.823
Pb  0.730  0.906  0.177
Na  0.000  0.000  0.000
Pb  0.906  0.177  0.730
Pb  0.553  0.823  0.730
Mg  0.853  0.353  0.500
Pb  0.823  0.270  0.094
Mg  0.500  0.853  0.353
Pb  0.823  0.730  0.553
Pb  0.270  0.447  0.177
Mg  0.147  0.647  0.500
Mg  0.647  0.500  0.147
Pb  0.094  0.823  0.270
Pb  0.730  0.553  0.823
Mg  0.500  0.147  0.647
Pb  0.177  0.270  0.447
Mg  0.353  0.500  0.853
Pb  0.447  0.177  0.270
Pb  0.177  0.730  0.906

=====

The following is a DFT calculation (GGA-PBE) of a relaxed LaIn2Cu crystal.

Final energy, eV per atom: -3.771
Energy of formation, kJ/mol of atoms: -14

a = 5.167 Å, b = 5.167 Å, c = 5.167 Å
α = 60.00°, β = 60.00°, γ = 60.00°
Fractional positions:
In  0.750  0.750  0.750
Cu  0.000  0.000  0.000
La  0.500  0.500  0.500
In  0.250  0.250  0.250

=====

The following is a DFT calculation (GGA-PBE) of a relaxed EuDyRhAu crystal.

Final energy, eV per atom: -7.051
Energy of formation, kJ/mol of atoms: -65

a = 5.037 Å, b = 5.037 Å, c = 5.037 Å
α = 60.00°, β = 60.00°, γ = 60.00°
Last column: magnetic moment on the atom in μB.
Fractional positions:
Eu  0.750  0.750  0.750  6.76
Rh  0.500  0.500  0.500  -0.06
Au  0.000  0.000  0.000  0.02
Dy  0.250  0.250  0.250  0.07

=====

The following is a DFT calculation (GGA-PBE) of a relaxed SrScSb2 crystal.

Final energy, eV per atom: -4.508
Formation energy without anion corrections, kJ/mol of atoms: -42.8

a = 6.358 Å, b = 6.358 Å, c = 9.365 Å
α = 70.16°, β = 70.16°, γ = 90.00°
Fractional positions:
Sc  0.500  0.500  0.000
Sr  0.000  0.000  0.000
Sb  0.542  0.125  0.250
Sr  0.750  0.250  0.500
Sb  0.208  0.625  0.250
Sb  0.875  0.792  0.750
Sc  0.250  0.750  0.500
Sb  0.375  0.458  0.750

=====

The following is a DFT calculation (GGA-PBE) of a relaxed AcInGe2 crystal.

Final energy, eV per atom: -4.419
Energy of formation, kJ/mol of atoms: -38

a = 4.927 Å, b = 6.998 Å, c = 12.313 Å
α = 90.00°, β = 90.00°, γ = 90.00°
Fractional positions:
In  0.250  0.149  0.553
Ac  0.750  0.844  0.149
Ge  0.750  0.835  0.874
Ge  0.750  0.972  0.679
Ge  0.250  0.528  0.179
Ac  0.250  0.156  0.851
Ge  0.750  0.335  0.626
In  0.750  0.851  0.447
Ge  0.750  0.472  0.821
In  0.250  0.649  0.947
In  0.750  0.351  0.053
Ge  0.250  0.665  0.374
Ge  0.250  0.165  0.126
Ac  0.750  0.344  0.351
Ac  0.250  0.656  0.649
Ge  0.250  0.028  0.321

=====

The following is a DFT calculation (GGA-PBE) of a relaxed ThNCl crystal.

Final energy, eV per atom: -7.650
Formation energy without anion corrections, kJ/mol of atoms: -172.3

a = 5.868 Å, b = 3.877 Å, c = 3.877 Å
α = 120.00°, β = 90.00°, γ = 90.00°
Fractional positions:
N  0.171  0.333  0.667
Cl  0.747  0.667  0.333
Th  0.082  0.000  0.000

=====

Here are the calculated V numbers, same order: 24.66 29.87 32.87 32.15 35.14 17.74 28.84 24.39 22.60 41.52 26.53 25.46 (A^3/atom).